[1]
DFT (GGA-PBE) results for an optimized crystal structure of GaCoTe2I.

* calculated total energy: -3.358 eV/atom
* uncorrected formation energy: 0.23 eV per atom
* DOS(E_F): 5.1 states/eV/cell
* energy above the most stable polymorph in this dataset: 0 meV per atom

Lattice parameters (Å, degrees): 5.0040 5.0040 5.8536 90.00 90.00 90.00
Closest atoms and distances in Å follow each position.
Element x y z (fractional)
Ga 0.0000 0.0000 0.0000  4 I 3.54, 8 Te 3.85
Co 0.5000 0.5000 0.5000  4 Te 2.50
Te 0.0000 0.5000 0.5000  2 Co 2.50
Te 0.5000 0.0000 0.5000  2 Co 2.50
I 0.5000 0.5000 0.0000  2 Co 2.93



[2]
DFT (GGA-PBE) results for an optimized crystal structure of Tb3Dy4Er5.

* calculated total energy: -4.574 eV/atom
* DOS(E_F): 15.3 states/eV/cell
* ΔH_f (0 K): 0.0186 eV/atom
* energy above the most stable polymorph in this dataset: 0 meV per atom

Lattice parameters (Å, degrees): 6.1004 7.0498 8.6214 90.00 90.10 90.12
Closest atoms and distances in Å follow each position.
Element x y z (fractional)
Tb 0.0000 0.0000 0.0000  8 Er 3.51-3.53, 2 Tb 3.52, 2 Dy 3.52
Tb 0.1667 0.7503 0.6670  5 Er 3.52-3.53, 6 Dy 3.52-3.53, 1 Tb 3.52
Tb 0.8333 0.2497 0.3330  5 Er 3.52-3.53, 6 Dy 3.52-3.53, 1 Tb 3.52
Dy 0.1669 0.2501 0.6669  5 Er 3.51-3.53, 3 Dy 3.52-3.53, 4 Tb 3.52-3.53
Dy 0.3331 0.5000 0.3327  5 Er 3.51-3.53, 3 Tb 3.52-3.53, 4 Dy 3.52-3.53
Dy 0.6669 0.5000 0.6673  5 Er 3.51-3.53, 3 Tb 3.52-3.53, 4 Dy 3.52-3.53
Dy 0.8331 0.7499 0.3331  5 Er 3.51-3.53, 3 Dy 3.52-3.53, 4 Tb 3.52-3.53
Er 0.0000 0.5000 0.0000  4 Dy 3.51-3.52, 4 Tb 3.52, 4 Er 3.52-3.53
Er 0.3340 0.9999 0.3326  4 Tb 3.51-3.53, 3 Er 3.52, 5 Dy 3.52-3.53
Er 0.4997 0.2498 0.9999  3 Dy 3.51-3.52, 6 Er 3.52-3.53, 3 Tb 3.52-3.53
Er 0.5003 0.7502 0.0001  3 Dy 3.51-3.52, 6 Er 3.52-3.53, 3 Tb 3.52-3.53
Er 0.6660 0.0001 0.6674  4 Tb 3.51-3.53, 3 Er 3.52, 5 Dy 3.52-3.53



[3]
DFT (GGA-PBE) results for an optimized crystal structure of Pm4YEr4.

* calculated total energy: -4.753 eV/atom
* DOS(E_F): 15.3 states/eV/cell
* ΔH_f (0 K): 0.1048 eV/atom
* energy above the most stable polymorph in this dataset: 83 meV per atom

Lattice parameters (Å, degrees): 8.9213 8.9213 6.7392 111.84 111.84 36.71
Closest atoms and distances in Å follow each position.
Element x y z (fractional)
Pm 0.1335 0.1335 0.3075  5 Er 3.31-3.64, 3 Pm 3.49-3.50, 2 Y 3.69
Pm 0.2794 0.2794 0.8436  2 Er 3.36-3.60, 1 Y 3.46, 3 Pm 3.49-3.50
Pm 0.7206 0.7206 0.1564  2 Er 3.36-3.60, 1 Y 3.46, 3 Pm 3.49-3.50
Pm 0.8665 0.8665 0.6925  5 Er 3.31-3.64, 3 Pm 3.49-3.50, 2 Y 3.69
Y 0.5000 0.5000 0.0000  6 Pm 3.46-3.69, 6 Er 3.62-3.65
Er 0.0713 0.0713 0.7662  4 Pm 3.31-3.64, 3 Er 3.35-3.45, 2 Y 3.65
Er 0.3766 0.3766 0.4239  2 Er 3.35, 3 Pm 3.38-3.60, 1 Y 3.62
Er 0.6234 0.6234 0.5761  2 Er 3.35, 3 Pm 3.38-3.60, 1 Y 3.62
Er 0.9287 0.9287 0.2338  4 Pm 3.31-3.64, 3 Er 3.35-3.45, 2 Y 3.65



[4]
DFT (GGA-PBE) results for an optimized crystal structure of Ca3InS4.

* calculated total energy: -4.749 eV/atom
* uncorrected formation energy: -1.59 eV per atom
* DOS(E_F): 5.9 states/eV/cell

Lattice parameters (Å, degrees): 5.6113 9.6269 8.4330 90.00 90.00 90.00
Closest atoms and distances in Å follow each position.
Element x y z (fractional)
Ca 0.2500 0.0001 0.1661  5 S 2.78-2.81
Ca 0.2500 0.2500 0.6643  5 S 2.78-2.81
Ca 0.2500 0.4999 0.1661  5 S 2.78-2.81
Ca 0.7500 0.9999 0.8339  5 S 2.78-2.81
Ca 0.7500 0.5001 0.8339  5 S 2.78-2.81
Ca 0.7500 0.7500 0.3357  5 S 2.78-2.81
In 0.2500 0.7500 0.6675  5 S 2.81-2.83
In 0.7500 0.2500 0.3325  5 S 2.81-2.83
S 0.2500 0.0033 0.8359  4 Ca 2.78-2.81, 1 In 2.82
S 0.2500 0.2500 0.3335  3 Ca 2.79, 2 In 2.81
S 0.2500 0.4967 0.8359  4 Ca 2.78-2.81, 1 In 2.82
S 0.2500 0.7500 0.3322  4 Ca 2.79-2.81, 1 In 2.83
S 0.7500 0.2500 0.6678  4 Ca 2.79-2.81, 1 In 2.83
S 0.7500 0.5033 0.1641  4 Ca 2.78-2.81, 1 In 2.82
S 0.7500 0.7500 0.6665  3 Ca 2.79, 2 In 2.81
S 0.7500 0.9967 0.1641  4 Ca 2.78-2.81, 1 In 2.82